SrTbAuS3: relaxed, PBE.

The value obtained for the total magnetization is 0.0 μB per formula unit. The final energy comes out at -62.54 eV for the cell shown.

Cell lengths 7.8263, 4.0053, 9.4453 Å; angles 90.00, 105.28, 90.00 degrees
With the nearest neighbours (Å) after each atom.
Space group P2_1/m (No. 11)
Unique sites:
Sr 0.2366 0.2500 0.2758 [2 per cell]  6 S 3.01-3.12, 1 Au 3.32
Tb 0.3121 0.7500 0.8390 [2 per cell]  6 S 2.75-2.82
Au 0.1194 0.2500 0.5893 [2 per cell]  3 S 2.53-2.55
S 0.0674 0.2500 0.8424 [2 per cell]  1 Au 2.53, 2 Tb 2.78
S 0.2960 0.7500 0.5371 [2 per cell]  2 Au 2.55, 1 Tb 2.82
S 0.4335 0.7500 0.1402 [2 per cell]  3 Tb 2.75-2.79, 2 Sr 3.01